# HfTaNi

Crystalline HfTaNi at its relaxed geometry (GGA-PBE, OQMD).

a = 4.9999 Å, b = 6.2982 Å, c = 6.3216 Å
α = 90.00°, β = 90.00°, γ = 90.00°
Last column: nearest neighbours and their distance in Å.
Element x y z (fractional)
Hf: 0.2500 0.1601 0.0000  4 Ni 2.67-2.70, 3 Ta 2.85-2.97
Hf: 0.2500 0.3399 0.5000  4 Ni 2.67-2.70, 3 Ta 2.85-2.97
Hf: 0.7500 0.6601 0.5000  4 Ni 2.67-2.70, 3 Ta 2.85-2.97
Hf: 0.7500 0.8399 0.0000  4 Ni 2.67-2.70, 3 Ta 2.85-2.97
Ta: 0.2500 0.6597 0.1802  4 Ni 2.67-2.69, 3 Hf 2.85-2.97
Ta: 0.2500 0.8403 0.6802  4 Ni 2.67-2.69, 3 Hf 2.85-2.97
Ta: 0.7500 0.1597 0.6802  4 Ni 2.67-2.69, 3 Hf 2.85-2.97
Ta: 0.7500 0.3403 0.1802  4 Ni 2.67-2.69, 3 Hf 2.85-2.97
Ni: 0.0000 0.0000 0.3426  2 Ni 2.50, 4 Ta 2.67-2.69, 4 Hf 2.67-2.70
Ni: 0.0000 0.5000 0.8426  2 Ni 2.50, 4 Ta 2.67-2.69, 4 Hf 2.67-2.70
Ni: 0.5000 0.0000 0.3426  2 Ni 2.50, 4 Ta 2.67-2.69, 4 Hf 2.67-2.70
Ni: 0.5000 0.5000 0.8426  2 Ni 2.50, 4 Ta 2.67-2.69, 4 Hf 2.67-2.70

Values from the calculation:
Energy above the lowest structure with this stoichiometry in kJ per mole of atoms: 1.7
Magnetic moment in μB/atom: 0.00
Total energy in eV per atom: -9.392
Energy of formation in eV per atom: -0.27
SG: Ima2, No. 46

---

# GaFeHgIr

Crystalline GaFeHgIr at its relaxed geometry (GGA-PBE, OQMD).

a = 6.2998 Å, b = 6.2998 Å, c = 6.2998 Å
α = 90.00°, β = 90.00°, γ = 90.00°
Last column: nearest neighbours and their distance in Å.
Element x y z (fractional)
Ga: 0.0000 0.0000 0.0000  4 Fe 2.73, 4 Ir 2.73
Ga: 0.0000 0.5000 0.5000  4 Fe 2.73, 4 Ir 2.73
Ga: 0.5000 0.0000 0.5000  4 Fe 2.73, 4 Ir 2.73
Ga: 0.5000 0.5000 0.0000  4 Fe 2.73, 4 Ir 2.73
Fe: 0.2500 0.2500 0.2500  4 Hg 2.73, 4 Ga 2.73
Fe: 0.2500 0.7500 0.7500  4 Hg 2.73, 4 Ga 2.73
Fe: 0.7500 0.2500 0.7500  4 Hg 2.73, 4 Ga 2.73
Fe: 0.7500 0.7500 0.2500  4 Hg 2.73, 4 Ga 2.73
Hg: 0.0000 0.0000 0.5000  4 Ir 2.73, 4 Fe 2.73
Hg: 0.0000 0.5000 0.0000  4 Ir 2.73, 4 Fe 2.73
Hg: 0.5000 0.0000 0.0000  4 Ir 2.73, 4 Fe 2.73
Hg: 0.5000 0.5000 0.5000  4 Ir 2.73, 4 Fe 2.73
Ir: 0.2500 0.2500 0.7500  4 Hg 2.73, 4 Ga 2.73
Ir: 0.2500 0.7500 0.2500  4 Hg 2.73, 4 Ga 2.73
Ir: 0.7500 0.2500 0.2500  4 Hg 2.73, 4 Ga 2.73
Ir: 0.7500 0.7500 0.7500  4 Ga 2.73, 4 Hg 2.73

Values from the calculation:
Energy above the lowest structure with this stoichiometry in kJ per mole of atoms: 0.0
Magnetic moment in μB/atom: 0.65
Total energy in eV per atom: -4.859
SG: F-43m, No. 216

---

# Tm2Ni12As7

Crystalline Tm2Ni12As7 at its relaxed geometry (GGA-PBE, OQMD).

a = 9.3525 Å, b = 9.3525 Å, c = 3.8112 Å
α = 90.00°, β = 90.00°, γ = 120.00°
Last column: nearest neighbours and their distance in Å.
Element x y z (fractional)
Tm: 0.0000 0.0000 0.0000  6 As 2.96, 12 Ni 3.13-3.27
Tm: 0.3333 0.6667 0.5000  6 As 2.95, 9 Ni 3.06-3.22
Ni: 0.0464 0.7608 0.5000  4 As 2.35-2.42
Ni: 0.1047 0.3896 0.0000  4 As 2.32-2.41, 1 Ni 2.57
Ni: 0.2392 0.2856 0.5000  4 As 2.35-2.42
Ni: 0.2849 0.8953 0.0000  4 As 2.32-2.41, 1 Ni 2.57
Ni: 0.3859 0.2063 0.0000  4 As 2.28-2.38
Ni: 0.5505 0.1214 0.5000  5 As 2.44-2.62, 1 Ni 2.69
Ni: 0.5709 0.4495 0.5000  5 As 2.44-2.62, 1 Ni 2.69
Ni: 0.6104 0.7151 0.0000  4 As 2.32-2.41, 1 Ni 2.57
Ni: 0.7144 0.9536 0.5000  4 As 2.35-2.42
Ni: 0.7937 0.1796 0.0000  4 As 2.28-2.38
Ni: 0.8204 0.6141 0.0000  4 As 2.28-2.38
Ni: 0.8786 0.4291 0.5000  5 As 2.44-2.62, 1 Ni 2.69
As: 0.0728 0.6200 0.0000  5 Ni 2.32-2.40
As: 0.2585 0.0375 0.5000  7 Ni 2.35-2.44
As: 0.3800 0.4528 0.0000  5 Ni 2.32-2.40
As: 0.5472 0.9272 0.0000  5 Ni 2.32-2.40
As: 0.6667 0.3333 0.0000  3 Ni 2.28
As: 0.7790 0.7415 0.5000  7 Ni 2.35-2.44
As: 0.9625 0.2210 0.5000  7 Ni 2.35-2.44

Values from the calculation:
Magnetic moment in μB/atom: 0.00
Total energy in eV per atom: -5.699
SG: P-6, No. 174

---

# NaPrSe2O8

Crystalline NaPrSe2O8 at its relaxed geometry (GGA-PBE, OQMD).

a = 6.5931 Å, b = 7.0930 Å, c = 7.2955 Å
α = 81.12°, β = 82.69°, γ = 89.43°
Last column: nearest neighbours and their distance in Å.
Element x y z (fractional)
Na: 0.0702 0.1884 0.2210  5 O 2.37-2.49
Na: 0.9298 0.8116 0.7790  5 O 2.37-2.49
Pr: 0.3556 0.6941 0.3023  8 O 2.38-2.59
Pr: 0.6444 0.3059 0.6977  8 O 2.38-2.59
Se: 0.1339 0.3121 0.7168  4 O 1.66-1.69
Se: 0.4263 0.7869 0.7895  4 O 1.65-1.67
Se: 0.5737 0.2131 0.2105  4 O 1.65-1.67
Se: 0.8661 0.6879 0.2832  4 O 1.66-1.69
O: 0.0069 0.8565 0.3459  1 Se 1.67
O: 0.0351 0.5139 0.2591  1 Se 1.67
O: 0.2576 0.2369 0.8982  1 Se 1.66
O: 0.2659 0.8028 0.9826  1 Se 1.67
O: 0.2814 0.7888 0.6182  1 Se 1.67
O: 0.3260 0.3857 0.5454  1 Se 1.69
O: 0.4038 0.0347 0.2610  1 Se 1.66
O: 0.4366 0.4090 0.1753  1 Se 1.65
O: 0.5634 0.5910 0.8247  1 Se 1.65
O: 0.5962 0.9653 0.7390  1 Se 1.66
O: 0.6740 0.6143 0.4546  1 Se 1.69
O: 0.7186 0.2112 0.3818  1 Se 1.67
O: 0.7341 0.1972 0.0174  1 Se 1.67
O: 0.7424 0.7631 0.1018  1 Se 1.66
O: 0.9649 0.4861 0.7409  1 Se 1.67
O: 0.9931 0.1435 0.6541  1 Se 1.67

Values from the calculation:
Magnetic moment in μB/atom: 0.00
Total energy in eV per atom: -5.888
SG: P-1, No. 2

---

# GdPSe3S

Crystalline GdPSe3S at its relaxed geometry (GGA-PBE, OQMD).

a = 6.6708 Å, b = 6.8855 Å, c = 7.8583 Å
α = 88.09°, β = 87.24°, γ = 83.97°
Last column: nearest neighbours and their distance in Å.
Element x y z (fractional)
Gd: 0.2043 0.2137 0.0590  1 S 2.76, 5 Se 2.97-3.02
Gd: 0.7957 0.7863 0.9410  1 S 2.76, 5 Se 2.97-3.02
P: 0.3116 0.7559 0.8101  1 S 2.01, 3 Se 2.24-2.25
P: 0.6884 0.2441 0.1899  1 S 2.01, 3 Se 2.24-2.25
Se: 0.0906 0.0153 0.7507  1 P 2.24
Se: 0.1216 0.5104 0.7734  1 P 2.25
Se: 0.3769 0.7740 0.0862  1 P 2.24
Se: 0.6231 0.2260 0.9138  1 P 2.24
Se: 0.8784 0.4896 0.2266  1 P 2.25
Se: 0.9094 0.9847 0.2493  1 P 2.24
S: 0.4317 0.2609 0.3366  1 P 2.01
S: 0.5683 0.7391 0.6634  1 P 2.01

Values from the calculation:
Energy above the lowest structure with this stoichiometry in kJ per mole of atoms: 0.5
Magnetic moment in μB/atom: 0.00
Total energy in eV per atom: -5.003
SG: P-1, No. 2

---

# SrAc2ReO6

Crystalline SrAc2ReO6 at its relaxed geometry (GGA-PBE, OQMD).

a = 5.8942 Å, b = 5.8942 Å, c = 6.0833 Å
α = 118.20°, β = 118.20°, γ = 60.08°
Last column: nearest neighbours and their distance in Å.
Element x y z (fractional)
Sr: 0.0000 0.0000 0.0000  6 O 2.38-2.45
Ac: 0.2433 0.2433 0.7228  5 O 2.49-2.57
Ac: 0.7567 0.7567 0.2772  5 O 2.49-2.57
Re: 0.5000 0.5000 0.5000  6 O 2.03-2.06
O: 0.1909 0.6670 0.6553  1 Re 2.03
O: 0.2792 0.2792 0.1614  1 Re 2.06
O: 0.3330 0.8091 0.3447  1 Re 2.03
O: 0.6670 0.1909 0.6553  1 Re 2.03
O: 0.7208 0.7208 0.8386  1 Re 2.06
O: 0.8091 0.3330 0.3447  1 Re 2.03

Values from the calculation:
Magnetic moment in μB/atom: 0.30
Total energy in eV per atom: -7.790
SG: C2/m, No. 12

---

Question: What is the magnetic moment in the second record?
Answer: 0.65 μB/atom

---

Question: Number 5 is which compound?
Answer: GdPSe3S